No. 1
## FeOsPt2 (PBE)

Data for a relaxed FeOsPt2 crystal.

Calculated values
E = -7.7748 eV per atom

Cell: 5.398 5.398 5.398 Å, 150.76 129.37 59.54°
Site moments in Bohr magnetons follow the coordinates.
Positions (direct):
Pt (0.729, 0.229, 0.500)  0.09
Pt (0.006, 0.006, 0.000)  0.10
Fe (0.494, 0.494, 0.000)  2.69
Os (0.271, 0.771, 0.500)  0.05

---

No. 2
## PrEr2Al2Ga2 (PBE)

Data for a relaxed PrEr2Al2Ga2 crystal.

Calculated values
E = -4.3112 eV per atom

Cell: 4.411 4.411 10.174 Å, 77.48 77.48 60.00°
Positions (direct):
Al (0.400, 0.400, 0.800)
Al (0.600, 0.600, 0.200)
Ga (0.253, 0.253, 0.242)
Ga (0.747, 0.747, 0.758)
Er (0.870, 0.870, 0.390)
Er (0.130, 0.130, 0.610)
Pr (0.000, 0.000, 0.000)

---

Q: Which of these has the lowest E?
A: FeOsPt2